1.
Here is Tb2DyTl2Zn2 after structural relaxation from the Alexandria database. Energies are from PBE.

DOS at the Fermi energy = 8.8 states/eV/cell
Energy of formation = -157.4 meV/atom

```
data_Tb2DyTl2Zn2
_chemical_formula_sum 'Tb6 Dy3 Tl6 Zn6'
_cell_length_a 4.7343
_cell_length_b 4.7343
_cell_length_c 27.5509
_cell_angle_alpha 90.00
_cell_angle_beta 90.00
_cell_angle_gamma 120.00
_symmetry_space_group_name_H-M 'R -3 m'
_symmetry_Int_Tables_number 166
_symmetry_space_group_name_Hall '-R 3 2"'
loop_
_atom_site_label
_atom_site_fract_x
_atom_site_fract_y
_atom_site_fract_z
Tb1 0.0000 0.0000 0.1265
Dy1 0.0000 0.0000 0.0000
Tl1 0.0000 0.0000 0.2618
Zn1 0.0000 0.0000 0.3917
```

2.
Here is La4Cu2Au after structural relaxation from the Alexandria database. Energies are from PBE.

DOS at the Fermi energy = 28.7 states/eV/cell
Energy of formation = -221.2 meV/atom

```
data_La4Cu2Au
_chemical_formula_sum 'La12 Cu6 Au3'
_cell_length_a 5.1837
_cell_length_b 5.1837
_cell_length_c 25.4511
_cell_angle_alpha 90.00
_cell_angle_beta 90.00
_cell_angle_gamma 120.00
_symmetry_space_group_name_H-M 'R -3 m'
_symmetry_Int_Tables_number 166
_symmetry_space_group_name_Hall '-R 3 2"'
loop_
_atom_site_label
_atom_site_fract_x
_atom_site_fract_y
_atom_site_fract_z
La1 0.0000 0.0000 0.1216
La2 0.0000 0.0000 0.3730
Cu1 0.0000 0.0000 0.2536
Au1 0.0000 0.0000 0.5000
```

Number 1: electronic total energy -3.178 eV per atom. Number 2: electronic total energy -4.675 eV per atom.